Below is VAgF2 after structural relaxation, with properties calculated at the PBE+U level.

Output
* total magnetic moment: 5.9 μB per cell
* energy above the lowest structure with this stoichiometry: 472 meV/atom
* calculated total energy: -4.75 eV per atom

Geometry as POSCAR:
```
VAgF2
1.0
-2.580 2.580 5.919
2.580 -2.580 5.919
2.580 2.580 -5.919
V Ag F
2 2 4
direct
0.000 0.000 0.000
0.750 0.250 0.500
0.250 0.750 0.500
0.500 0.500 0.000
0.375 0.225 0.350
0.775 0.125 0.150
0.875 0.025 0.650
0.975 0.625 0.850
```